# 1
A geometry-optimized LaBi2Pd7 structure. Source: the Alexandria database, functional PBE.

## Properties
DOS(E_F) in states/eV per cell: 5.19
Energy above the lowest structure with this stoichiometry in meV per atom: 0
Calculated volume in Å³ per cell: 410.4
Size of the total moment in μB/cell: 0.00
Uncorrected energy in eV per formula unit: -53.1

The structure in CIF format:
```
data_LaBi2Pd7
_chemical_formula_sum 'La2 Bi4 Pd14'
_cell_length_a 4.1348
_cell_length_b 4.1348
_cell_length_c 24.0077
_cell_angle_alpha 90.00
_cell_angle_beta 90.00
_cell_angle_gamma 90.00
_symmetry_space_group_name_H-M 'I 4/m m m'
_symmetry_Int_Tables_number 139
_symmetry_space_group_name_Hall '-I 4 2'
loop_
_atom_site_label
_atom_site_fract_x
_atom_site_fract_y
_atom_site_fract_z
La1 0.0000 0.0000 0.0000
Bi1 0.0000 0.0000 0.3303
Pd1 0.0000 0.0000 0.5000
Pd2 0.0000 0.5000 0.0907
Pd3 0.0000 0.5000 0.2500
```

# 2
A geometry-optimized La2BiPd9 structure. Source: the Alexandria database, functional PBE.

## Properties
DOS(E_F) in states/eV per cell: 3.20
Energy above the lowest structure with this stoichiometry in meV per atom: 0
Calculated volume in Å³ per cell: 222.3
Size of the total moment in μB/cell: 0.00
Uncorrected energy in eV per formula unit: -67.8

The structure in CIF format:
```
data_La2BiPd9
_chemical_formula_sum 'La2 Bi1 Pd9'
_cell_length_a 4.2135
_cell_length_b 4.2135
_cell_length_c 12.5234
_cell_angle_alpha 90.00
_cell_angle_beta 90.00
_cell_angle_gamma 90.00
_symmetry_space_group_name_H-M 'P 4/m m m'
_symmetry_Int_Tables_number 123
_symmetry_space_group_name_Hall '-P 4 2'
loop_
_atom_site_label
_atom_site_fract_x
_atom_site_fract_y
_atom_site_fract_z
La1 0.0000 0.0000 0.1679
Bi1 0.0000 0.0000 0.5000
Pd1 0.0000 0.5000 0.0000
Pd2 0.0000 0.5000 0.3396
Pd3 0.5000 0.5000 0.1735
Pd4 0.5000 0.5000 0.5000
```

# 3
A geometry-optimized LaBi2Pd structure. Source: the Alexandria database, functional PBE.

## Properties
DOS(E_F) in states/eV per cell: 10.05
Calculated volume in Å³ per cell: 477.9
Size of the total moment in μB/cell: 0.00
Uncorrected energy in eV per formula unit: -19.4

The structure in CIF format:
```
data_LaBi2Pd
_chemical_formula_sum 'La4 Bi8 Pd4'
_cell_length_a 4.6885
_cell_length_b 4.6885
_cell_length_c 21.7392
_cell_angle_alpha 90.00
_cell_angle_beta 90.00
_cell_angle_gamma 90.00
_symmetry_space_group_name_H-M 'I -4 2 d'
_symmetry_Int_Tables_number 122
_symmetry_space_group_name_Hall 'I -4 2bw'
loop_
_atom_site_label
_atom_site_fract_x
_atom_site_fract_y
_atom_site_fract_z
La1 0.0000 0.0000 0.0000
Bi1 0.2202 0.2500 0.6250
Pd1 0.0000 0.0000 0.5000
```

# 4
A geometry-optimized La2Bi2Pd15 structure. Source: the Alexandria database, functional PBE.

## Properties
DOS(E_F) in states/eV per cell: 61.18
Calculated volume in Å³ per cell: 1067.8
Size of the total moment in μB/cell: 0.00
Uncorrected energy in eV per formula unit: -103.0

The structure in CIF format:
```
data_La2Bi2Pd15
_chemical_formula_sum 'La6 Bi6 Pd45'
_cell_length_a 9.3924
_cell_length_b 9.3924
_cell_length_c 13.9773
_cell_angle_alpha 90.00
_cell_angle_beta 90.00
_cell_angle_gamma 120.00
_symmetry_space_group_name_H-M 'R -3 m'
_symmetry_Int_Tables_number 166
_symmetry_space_group_name_Hall '-R 3 2"'
loop_
_atom_site_label
_atom_site_fract_x
_atom_site_fract_y
_atom_site_fract_z
La1 0.0000 0.0000 0.1456
Bi1 0.0000 0.0000 0.3944
Pd1 0.0000 0.3296 0.5000
Pd2 0.0000 0.5000 0.0000
Pd3 0.0071 0.5036 0.6631
```

# 5
A geometry-optimized La2BiPd4 structure. Source: the Alexandria database, functional PBE.

## Properties
DOS(E_F) in states/eV per cell: 6.55
Calculated volume in Å³ per cell: 386.5
Size of the total moment in μB/cell: 0.00
Uncorrected energy in eV per formula unit: -36.3

The structure in CIF format:
```
data_La2BiPd4
_chemical_formula_sum 'La4 Bi2 Pd8'
_cell_length_a 5.0734
_cell_length_b 5.0734
_cell_length_c 15.0164
_cell_angle_alpha 90.00
_cell_angle_beta 90.00
_cell_angle_gamma 90.00
_symmetry_space_group_name_H-M 'I 4/m m m'
_symmetry_Int_Tables_number 139
_symmetry_space_group_name_Hall '-I 4 2'
loop_
_atom_site_label
_atom_site_fract_x
_atom_site_fract_y
_atom_site_fract_z
La1 0.0000 0.0000 0.1400
Bi1 0.0000 0.0000 0.5000
Pd1 0.0000 0.0000 0.3143
Pd2 0.0000 0.5000 0.0000
```

# 6
A geometry-optimized LaBi2Pd structure. Source: the Alexandria database, functional PBE.

## Properties
DOS(E_F) in states/eV per cell: 17.09
Calculated volume in Å³ per cell: 434.3
Size of the total moment in μB/cell: 0.00
Uncorrected energy in eV per formula unit: -19.4

The structure in CIF format:
```
data_LaBi2Pd
_chemical_formula_sum 'La4 Bi8 Pd4'
_cell_length_a 7.5730
_cell_length_b 7.5730
_cell_length_c 7.5730
_cell_angle_alpha 90.00
_cell_angle_beta 90.00
_cell_angle_gamma 90.00
_symmetry_space_group_name_H-M 'F m -3 m'
_symmetry_Int_Tables_number 225
_symmetry_space_group_name_Hall '-F 4 2 3'
loop_
_atom_site_label
_atom_site_fract_x
_atom_site_fract_y
_atom_site_fract_z
La1 0.0000 0.0000 0.0000
Bi1 0.2500 0.2500 0.2500
Pd1 0.0000 0.0000 0.5000
```

# 7
A geometry-optimized LaBiPd structure. Source: the Alexandria database, functional PBE.

## Properties
DOS(E_F) in states/eV per cell: 3.54
Calculated volume in Å³ per cell: 168.0
Size of the total moment in μB/cell: 0.00
Uncorrected energy in eV per formula unit: -15.7

The structure in CIF format:
```
data_LaBiPd
_chemical_formula_sum 'La2 Bi2 Pd2'
_cell_length_a 4.2534
_cell_length_b 4.2534
_cell_length_c 9.2875
_cell_angle_alpha 90.00
_cell_angle_beta 90.00
_cell_angle_gamma 90.00
_symmetry_space_group_name_H-M 'I 4 m m'
_symmetry_Int_Tables_number 107
_symmetry_space_group_name_Hall 'I 4 -2'
loop_
_atom_site_label
_atom_site_fract_x
_atom_site_fract_y
_atom_site_fract_z
La1 0.0000 0.0000 0.0000
Bi1 0.0000 0.0000 0.3362
Pd1 0.0000 0.0000 0.6402
```

# 8
A geometry-optimized La2Bi3Pd9 structure. Source: the Alexandria database, functional PBE.

## Properties
DOS(E_F) in states/eV per cell: 32.48
Calculated volume in Å³ per cell: 1141.0
Size of the total moment in μB/cell: 0.00
Uncorrected energy in eV per formula unit: -76.1

The structure in CIF format:
```
data_La2Bi3Pd9
_chemical_formula_sum 'La8 Bi12 Pd36'
_cell_length_a 14.4324
_cell_length_b 8.3654
_cell_length_c 9.4507
_cell_angle_alpha 90.00
_cell_angle_beta 90.00
_cell_angle_gamma 90.00
_symmetry_space_group_name_H-M 'C m c m'
_symmetry_Int_Tables_number 63
_symmetry_space_group_name_Hall '-C 2c 2'
loop_
_atom_site_label
_atom_site_fract_x
_atom_site_fract_y
_atom_site_fract_z
La1 0.1527 0.1769 0.2500
Bi1 0.0000 0.0000 0.0000
Bi2 0.1844 0.5000 0.0000
Pd1 0.0000 0.1604 0.7500
Pd2 0.0000 0.3361 0.0341
Pd3 0.0936 0.4630 0.7500
Pd4 0.1682 0.1798 0.5953
```

The records above yield calculated formation energy values of -408.2, -608.5, -370.1, -393.2, -254.9, -385.4, -555.9, -562.6 meV/atom, respectively.